# 1
DFT (PBE) results for a geometry-optimized ZnTcAs2 structure.

Values from the calculation:
As for the theoretical density: 7.95 g cm⁻³. As for the formation enthalpy at 0 K: 0.11 eV per atom. As for the spin magnetization: 0.0 μB/f.u. Its crystal system is monoclinic.

```
ZnTcAs2
1.0
4.492 -0.001 0.006
3.377 2.962 0.006
0.642 0.242 4.915
As Tc Zn
2 1 1
direct
0.022 0.022 0.973
0.478 0.478 0.527
0.750 0.750 0.750
0.250 0.250 0.250
```

# 2
DFT (PBE) results for a geometry-optimized ZnTcAs2 structure.

Values from the calculation:
As for the theoretical density: 8.16 g cm⁻³. As for the formation enthalpy at 0 K: 0.26 eV per atom. As for the spin magnetization: 0.3 μB/f.u. Its crystal system is orthorhombic.

```
ZnTcAs2
1.0
-3.467 2.878 0.300
-0.936 -2.422 -3.695
-1.605 -2.126 1.803
As Tc Zn
2 1 1
direct
0.000 0.000 0.000
0.500 0.500 0.000
0.500 0.000 0.500
0.000 0.500 0.500
```

# 3
DFT (PBE) results for a geometry-optimized ZnTc2As structure.

Values from the calculation:
As for the theoretical density: 8.74 g cm⁻³. As for the relative energy among the computed polymorphs: 0.194 eV/atom. As for the formation enthalpy at 0 K: 0.21 eV per atom. As for the spin magnetization: 0.0 μB/f.u. Its crystal system is trigonal.

```
ZnTc2As
1.0
4.269 0.000 0.000
2.134 3.697 0.000
2.134 1.232 4.050
Zn Tc As
1 2 1
direct
0.487 0.487 0.538
0.061 0.061 0.818
0.269 0.269 0.193
0.683 0.683 0.950
```

# 4
DFT (PBE) results for a geometry-optimized ZnTcAs2 structure.

Values from the calculation:
As for the theoretical density: 8.01 g cm⁻³. As for the formation enthalpy at 0 K: 0.24 eV per atom. As for the spin magnetization: 0.0 μB/f.u. Its crystal system is monoclinic.

```
ZnTcAs2
1.0
3.231 0.000 0.000
0.000 5.305 0.011
0.000 3.578 3.796
As Tc Zn
2 1 1
direct
0.000 0.000 0.000
0.500 0.500 0.000
0.500 0.500 0.500
0.000 0.000 0.500
```

What is the theoretical density in the third record? 8.74 g cm⁻³

Which value of spin magnetization does entry 1 give? 0.0 μB/f.u.

Which formula does entry 3 have? ZnTc2As

Among the records above, which one has the lowest theoretical density? number 1